First-principles (GGA-PBE) data for Rb2InGaAu6 after structural relaxation, as listed in the Alexandria database.

abc: 7.416 7.419 7.412
angles: 59.99 60.00 90.03
Fractional coordinates of all 10 atoms:
Au (0.759, 0.759, 0.481)
Au (0.240, 0.241, 0.000)
Au (0.240, 0.759, 0.000)
Au (0.760, 0.241, 0.000)
Au (0.241, 0.241, 0.519)
Au (0.760, 0.759, 0.000)
In (0.500, 0.500, 0.000)
Rb (0.750, 0.250, 0.500)
Rb (0.250, 0.750, 0.500)
Ga (0.000, 0.000, 0.000)

Calculated values
Density of states at the Fermi level   0.287 states/eV per atom
Spin magnetization   0.00 μB per formula unit
Energy   -0.2097 Ry per atom
Formation energy from the elements   -117 meV/atom